[1]
Material: AgIr2Pb
Method: DFT, meta-GGA SCAN
State: single point on PBEsol structure

Values from the calculation:
Formation enthalpy at 0 K ... 614.6 meV per atom
Space group ... P4/mmm, No. 123
DOS(E_F) ... 2.24 states/eV per cell

a = 3.9206 Å, b = 4.1134 Å, c = 4.1134 Å
α = 90.00°, β = 90.00°, γ = 90.00°
Last column: nearest neighbours and their distance in Å.
Atoms (fractional coordinates):
Ir1 0.0000 0.0000 0.5000  4 Pb 2.84, 4 Ag 2.84, 4 Ir 2.91
Ir2 0.0000 0.5000 0.0000  4 Ag 2.84, 4 Pb 2.84, 4 Ir 2.91
Pb1 0.5000 0.5000 0.5000  8 Ir 2.84, 4 Ag 2.91
Ag1 0.5000 0.0000 0.0000  8 Ir 2.84, 4 Pb 2.91

[2]
Material: AgIr2Pb
Method: DFT, meta-GGA SCAN
State: single point on PBEsol structure

Values from the calculation:
Formation enthalpy at 0 K ... 607.1 meV per atom
Space group ... C2/m, No. 12
DOS(E_F) ... 2.56 states/eV per cell

a = 2.9599 Å, b = 4.8407 Å, c = 5.0006 Å
α = 99.56°, β = 90.00°, γ = 107.80°
Last column: nearest neighbours and their distance in Å.
Atoms (fractional coordinates):
Ir1 0.7516 0.5032 0.7688  6 Ir 2.75-3.06, 3 Ag 2.77-2.80, 3 Pb 2.85-2.88
Ir2 0.2484 0.4968 0.2312  6 Ir 2.75-3.06, 3 Ag 2.77-2.80, 3 Pb 2.85-2.88
Ag1 0.5000 0.0000 0.0000  6 Ir 2.77-2.80, 4 Pb 2.91, 2 Ag 2.96
Pb1 0.0000 0.0000 0.5000  6 Ir 2.85-2.88, 4 Ag 2.91, 2 Pb 2.96

[3]
Material: AgIr2Pb
Method: DFT, meta-GGA SCAN
State: single point on PBEsol structure

Values from the calculation:
Formation enthalpy at 0 K ... 632.5 meV per atom
Space group ... P2/m, No. 10
DOS(E_F) ... 2.66 states/eV per cell

a = 2.8997 Å, b = 4.7069 Å, c = 4.9788 Å
α = 90.00°, β = 91.31°, γ = 90.00°
Last column: nearest neighbours and their distance in Å.
Atoms (fractional coordinates):
Ag1 0.0000 0.5000 0.5000  4 Ir 2.73, 4 Pb 2.85-2.91, 2 Ag 2.90
Ir1 0.7504 0.0000 0.7339  5 Ir 2.72-2.99, 2 Ag 2.73, 2 Pb 2.80
Ir2 0.2496 0.0000 0.2661  5 Ir 2.72-2.99, 2 Ag 2.73, 2 Pb 2.80
Pb1 0.5000 0.5000 0.0000  4 Ir 2.80, 4 Ag 2.85-2.91, 2 Pb 2.90